No. 1
## LaSc3 (SCAN)

Data for a PBEsol-optimized structure of LaSc3.

The value obtained for the mass density is 4.5 Mg/m³.

The structure belongs to space group Cmmm (No. 65); the cell edges are 6.6396, 9.0980 and 3.3668 Å and the angles 90.00°, 90.00° and 90.00°. The asymmetric unit holds La at (0.0000, 0.0000, 0.0000), Sc at (0.0000, 0.5000, 0.0000) and Sc at (0.2500, 0.2500, 0.5000).

No. 2
## LaSc3 (SCAN)

Data for a PBEsol-optimized structure of LaSc3.

The value obtained for the mass density is 4.4 Mg/m³.

The structure belongs to space group R-3m (No. 166, hexagonal axes); the cell edges are 3.3335, 3.3335 and 32.0134 Å and the angles 90.00°, 90.00° and 120.00°. The asymmetric unit holds La at (0.0000, 0.0000, 0.0000), Sc at (0.0000, 0.0000, 0.2462) and Sc at (0.0000, 0.0000, 0.5000).

No. 3
## LaSc (SCAN)

Data for a PBEsol-optimized structure of LaSc.

The value obtained for the mass density is 5.5 Mg/m³. Its distance to the lowest polymorph of the same formula is 0.014 eV/atom.

The structure belongs to space group R-3m (No. 166, hexagonal axes); the cell edges are 3.4478, 3.4478 and 16.2378 Å and the angles 90.00°, 90.00° and 120.00°. The asymmetric unit holds La at (0.0000, 0.0000, 0.0000) and Sc at (0.0000, 0.0000, 0.5000).

No. 4
## LaSc3 (SCAN)

Data for a PBEsol-optimized structure of LaSc3.

The value obtained for the mass density is 4.4 Mg/m³.

The structure belongs to space group P-6m2 (No. 187); the cell edges are 3.3662, 3.3662 and 10.6095 Å and the angles 90.00°, 90.00° and 120.00°. The asymmetric unit holds La at (0.0000, 0.0000, 0.0000), Sc at (0.0000, 0.0000, 0.5000) and Sc at (0.6667, 0.3333, 0.2668).

No. 5
## LaSc (SCAN)

Data for a PBEsol-optimized structure of LaSc.

The value obtained for the mass density is 5.3 Mg/m³. Its distance to the lowest polymorph of the same formula is 0.025 eV/atom.

The structure belongs to space group Amm2 (No. 38); the cell edges are 5.5161, 3.4764 and 17.8682 Å and the angles 90.00°, 90.00° and 90.00°. The asymmetric unit holds La at (0.0000, 0.0000, 0.0000), La at (0.0000, 0.0000, 0.3280), La at (0.5000, 0.0000, 0.5540), Sc at (0.0000, 0.0000, 0.6676), Sc at (0.5000, 0.0000, 0.2193) and Sc at (0.5000, 0.0000, 0.8764).

No. 6
## LaSc (SCAN)

Data for a PBEsol-optimized structure of LaSc.

The value obtained for the mass density is 5.4 Mg/m³. Its distance to the lowest polymorph of the same formula is 0.025 eV/atom.

The structure belongs to space group Pmmn (No. 59, origin choice 2); the cell edges are 3.4573, 5.5745 and 5.8655 Å and the angles 90.00°, 90.00° and 90.00°. The asymmetric unit holds La at (0.2500, 0.2500, 0.0848) and Sc at (0.2500, 0.7500, 0.4180).

No. 7
## LaSc (SCAN)

Data for a PBEsol-optimized structure of LaSc.

The value obtained for the mass density is 5.3 Mg/m³. Its distance to the lowest polymorph of the same formula is 0.000 eV/atom.

The structure belongs to space group Pmma (No. 51); the cell edges are 5.5366, 3.7459 and 5.5477 Å and the angles 90.00°, 90.00° and 90.00°. The asymmetric unit holds La at (0.2500, 0.0000, 0.2378) and Sc at (0.2500, 0.5000, 0.7347).

No. 8
## LaSc3 (SCAN)

Data for a PBEsol-optimized structure of LaSc3.

The value obtained for the mass density is 4.4 Mg/m³.

The structure belongs to space group I4/mmm (No. 139); the cell edges are 4.8234, 4.8234 and 8.9449 Å and the angles 90.00°, 90.00° and 90.00°. The asymmetric unit holds La at (0.0000, 0.0000, 0.0000), Sc at (0.0000, 0.0000, 0.5000) and Sc at (0.0000, 0.5000, 0.2500).

No. 9
## LaSc (SCAN)

Data for a PBEsol-optimized structure of LaSc.

The value obtained for the mass density is 5.3 Mg/m³. Its distance to the lowest polymorph of the same formula is 0.014 eV/atom.

The structure belongs to space group C2/m (No. 12); the cell edges are 11.9592, 3.5761 and 5.7421 Å and the angles 90.00°, 111.43° and 90.00°. The asymmetric unit holds La at (0.1206, 0.0000, 0.3319) and Sc at (0.1393, 0.5000, 0.8388).

No. 10
## LaSc3 (SCAN)

Data for a PBEsol-optimized structure of LaSc3.

The value obtained for the mass density is 4.4 Mg/m³.

The structure belongs to space group Imm2 (No. 44); the cell edges are 3.4344, 10.5609 and 5.7176 Å and the angles 90.00°, 90.00° and 90.00°. The asymmetric unit holds La at (0.0000, 0.0000, 0.0000), Sc at (0.0000, 0.2422, 0.6375) and Sc at (0.0000, 0.5000, 0.9863).

No. 11
## LaSc3 (SCAN)

Data for a PBEsol-optimized structure of LaSc3.

The value obtained for the mass density is 4.4 Mg/m³.

The structure belongs to space group Pmmm (No. 47); the cell edges are 3.4200, 4.4516 and 6.7817 Å and the angles 90.00°, 90.00° and 90.00°. The asymmetric unit holds La at (0.0000, 0.0000, 0.0000), Sc at (0.0000, 0.0000, 0.5000) and Sc at (0.5000, 0.5000, 0.2666).

No. 12
## LaSc3 (SCAN)

Data for a PBEsol-optimized structure of LaSc3.

The value obtained for the mass density is 4.4 Mg/m³.

The structure belongs to space group Pmmn (No. 59, origin choice 2); the cell edges are 5.3222, 6.7896 and 5.7742 Å and the angles 90.00°, 90.00° and 90.00°. The asymmetric unit holds La at (0.2500, 0.2500, 0.1771), Sc at (0.2500, 0.5010, 0.6658) and Sc at (0.2500, 0.7500, 0.1760).

no.,energy relative to the elements (kJ/mol of formula units)
1,34
2,34
3,16
4,31
5,18
6,18
7,13
8,39
9,16
10,33
11,36
12,28